[1]
ScGa | PBE | optimized geometry

Lattice parameters (Å, degrees): 6.254 6.254 6.254 90.00 90.00 90.00
Each line ends with the local moment (μB).
Positions (direct):
1 Sc 0.250 0.750 0.750  0.49
2 Sc 0.750 0.750 0.250  0.49
3 Sc 0.750 0.250 0.750  0.49
4 Sc 0.250 0.250 0.250  0.49
5 Ga 0.500 0.500 0.000  0.22
6 Ga 0.000 0.000 0.000  0.22
7 Ga 0.500 0.000 0.500  0.22
8 Ga 0.000 0.500 0.500  0.22

Results
E_tot: -4.0637 eV/atom
Total magnetization: 1.06 μB/f.u.

[2]
ScGa | PBE | optimized geometry

Lattice parameters (Å, degrees): 7.601 7.601 5.147 90.00 90.00 120.00
Positions (direct):
1 Ga 0.516 0.638 0.250
2 Ga 0.484 0.362 0.750
3 Ga 0.878 0.516 0.750
4 Ga 0.362 0.878 0.250
5 Ga 0.638 0.122 0.750
6 Ga 0.122 0.484 0.250
7 Sc 0.078 0.283 0.750
8 Sc 0.717 0.795 0.750
9 Sc 0.795 0.078 0.250
10 Sc 0.205 0.922 0.750
11 Sc 0.283 0.205 0.250
12 Sc 0.922 0.717 0.250

Results
E_tot: -4.9724 eV/atom
Total magnetization: 0.00 μB/f.u.